Record 1
Here is crystalline RbHSeBr2 at its relaxed geometry from the Alexandria database. Energies are from GGA-PBE.

```
data_RbHSeBr2
_chemical_formula_sum 'Rb1 H1 Se1 Br2'
_symmetry_space_group_name_H-M 'P 4/m m m'
_symmetry_Int_Tables_number 123
_symmetry_space_group_name_Hall '-P 4 2'
_cell_length_a 6.6620
_cell_length_b 6.6620
_cell_length_c 7.1679
_cell_angle_alpha 90.00
_cell_angle_beta 90.00
_cell_angle_gamma 90.00
loop_
_atom_site_label
_atom_site_type_symbol
_atom_site_fract_x
_atom_site_fract_y
_atom_site_fract_z
Rb1 Rb 0.0000 0.0000 0.0000
H1 H 0.5000 0.5000 0.5000
Se1 Se 0.0000 0.0000 0.5000
Br1 Br 0.0000 0.5000 0.0000
```

- Offset from the most stable computed form: 785.4 meV per atom

Record 2
Here is crystalline Ni2PtRh at its relaxed geometry from the Alexandria database. Energies are from GGA-PBE.

```
data_Ni2PtRh
_chemical_formula_sum 'Ni2 Pt1 Rh1'
_symmetry_space_group_name_H-M 'P 1 m 1'
_symmetry_Int_Tables_number 6
_cell_length_a 2.6701
_cell_length_b 4.0479
_cell_length_c 5.0654
_cell_angle_alpha 90.00
_cell_angle_beta 105.15
_cell_angle_gamma 90.00
loop_
_symmetry_equiv_pos_as_xyz
'x,y,z'
'x,-y,z'
loop_
_atom_site_label
_atom_site_type_symbol
_atom_site_fract_x
_atom_site_fract_y
_atom_site_fract_z
Ni1 Ni 0.0000 0.0000 0.0000
Ni2 Ni 0.1357 0.5000 0.2681
Pt1 Pt 0.7402 0.0000 0.4781
Rh1 Rh 0.3984 0.5000 0.7953
```

- Energy of formation: 0.013 eV per atom

Record 3
Here is crystalline CaLaBe2 at its relaxed geometry from the Alexandria database. Energies are from GGA-PBE.

```
data_CaLaBe2
_chemical_formula_sum 'Ca4 La4 Be8'
_symmetry_space_group_name_H-M 'I -4 2 d'
_symmetry_Int_Tables_number 122
_symmetry_space_group_name_Hall 'I -4 2bw'
_cell_length_a 7.7033
_cell_length_b 7.7033
_cell_length_c 7.1444
_cell_angle_alpha 90.00
_cell_angle_beta 90.00
_cell_angle_gamma 90.00
loop_
_atom_site_label
_atom_site_type_symbol
_atom_site_fract_x
_atom_site_fract_y
_atom_site_fract_z
Ca1 Ca 0.0000 0.0000 0.0000
La1 La 0.0000 0.0000 0.5000
Be1 Be 0.2490 0.2500 0.6250
```

- Offset from the most stable computed form: 552.0 meV per atom
- Energy of formation: 0.785 eV per atom

Number 1: uncorrected energy -8.6 eV/f.u., magnetic moment 4.030 μB per formula unit. Number 2: uncorrected energy -24.9 eV/f.u., magnetic moment 3.095 μB per formula unit. Number 3: uncorrected energy -11.2 eV/f.u., magnetic moment 0.000 μB per formula unit.